(1)
Compound: AgTe3
Source: Alexandria
Functional: GGA-PBE
Structure: optimized geometry

Values from the calculation:
Uncorrected formation energy: 0.46 eV per atom
Total magnetization: 0.00 μB/f.u.
Crystal system: cubic
Volume: 222 Å³/cell

Lattice parameters (Å, degrees): 6.0547 6.0547 6.0547 90.00 90.00 90.00
Last column: nearest neighbours and their distance in Å.
Space group Pm-3n (No. 223)
One atom of each set of equivalent atoms:
1 Ag 0.0000 0.0000 0.0000 [2 per cell]  12 Te 3.38
2 Te 0.0000 0.2500 0.5000 [6 per cell]  2 Te 3.03, 4 Ag 3.38


(2)
Compound: Ag2Te
Source: Alexandria
Functional: GGA-PBE
Structure: optimized geometry

Values from the calculation:
Uncorrected formation energy: 0.04 eV per atom
Total magnetization: 0.00 μB/f.u.
Crystal system: orthorhombic
Volume: 264 Å³/cell

Lattice parameters (Å, degrees): 4.3640 14.1197 4.2904 90.00 90.00 90.00
Last column: nearest neighbours and their distance in Å.
Space group Cmmm (No. 65)
One atom of each set of equivalent atoms:
1 Ag 0.0000 0.0000 0.0000 [2 per cell]  4 Te 3.04, 8 Ag 3.04-3.06
2 Ag 0.0000 0.1525 0.5000 [4 per cell]  4 Ag 3.04-3.07, 4 Te 3.06
3 Ag 0.0000 0.5000 0.5000 [2 per cell]  4 Te 3.01, 8 Ag 3.06-3.07
4 Te 0.0000 0.3505 0.0000 [4 per cell]  8 Ag 3.01-3.06


(3)
Compound: AgTe3
Source: Alexandria
Functional: GGA-PBE
Structure: optimized geometry

Values from the calculation:
Uncorrected formation energy: 0.29 eV per atom
Total magnetization: 0.00 μB/f.u.
Crystal system: trigonal
Volume: 320 Å³/cell

Lattice parameters (Å, degrees): 10.4594 10.4594 3.3812 90.00 90.00 120.00
Last column: nearest neighbours and their distance in Å.
Space group R-3m (No. 166, hexagonal axes)
One atom of each set of equivalent atoms:
1 Ag 0.0000 0.0000 0.0000 [3 per cell]  6 Te 3.22, 2 Ag 3.38
2 Te 0.0000 0.5000 0.0000 [9 per cell]  6 Te 3.22-3.38, 2 Ag 3.22


(4)
Compound: Ag3Te4
Source: Alexandria
Functional: GGA-PBE
Structure: optimized geometry

Values from the calculation:
Uncorrected formation energy: 0.13 eV per atom
Total magnetization: 0.00 μB/f.u.
Crystal system: tetragonal
E above lowest polymorph: 46.2 meV/atom
Volume: 381 Å³/cell

Lattice parameters (Å, degrees): 3.8130 3.8130 26.1726 90.00 90.00 90.00
Last column: nearest neighbours and their distance in Å.
Space group I4/mmm (No. 139)
One atom of each set of equivalent atoms:
1 Ag 0.0000 0.0000 0.0000 [2 per cell]  8 Te 3.05
2 Ag 0.0000 0.0000 0.2814 [4 per cell]  5 Te 2.89-2.97, 4 Ag 3.16
3 Te 0.0000 0.0000 0.1708 [4 per cell]  5 Ag 2.89-2.97
4 Te 0.0000 0.0000 0.4454 [4 per cell]  1 Te 2.86, 4 Ag 3.05


(5)
Compound: Ag2Te
Source: Alexandria
Functional: GGA-PBE
Structure: optimized geometry

Values from the calculation:
Uncorrected formation energy: 0.10 eV per atom
Total magnetization: 0.00 μB/f.u.
Crystal system: trigonal
Volume: 71 Å³/cell

Lattice parameters (Å, degrees): 5.1233 5.1233 3.1397 90.00 90.00 120.00
Last column: nearest neighbours and their distance in Å.
Space group P-3m1 (No. 164)
One atom of each set of equivalent atoms:
1 Ag 0.3333 0.6667 0.0018 [2 per cell]  3 Te 2.96, 5 Ag 2.96-3.14
2 Te 0.0000 0.0000 0.0000 [1 per cell]  6 Ag 2.96, 2 Te 3.14


(6)
Compound: AgTe
Source: Alexandria
Functional: GGA-PBE
Structure: optimized geometry

Values from the calculation:
Uncorrected formation energy: 0.01 eV per atom
Total magnetization: 0.00 μB/f.u.
Crystal system: hexagonal
Volume: 102 Å³/cell

Lattice parameters (Å, degrees): 4.4903 4.4903 5.8469 90.00 90.00 120.00
Last column: nearest neighbours and their distance in Å.
Space group P6_3/mmc (No. 194)
One atom of each set of equivalent atoms:
1 Ag 0.0000 0.0000 0.0000 [2 per cell]  2 Ag 2.92, 6 Te 2.98
2 Te 0.3333 0.6667 0.2500 [2 per cell]  6 Ag 2.98


What is the formula in the first record?
AgTe3


Repeat the sixth record exactly.
Compound: AgTe
Source: Alexandria
Functional: GGA-PBE
Structure: optimized geometry

Values from the calculation:
Uncorrected formation energy: 0.01 eV per atom
Total magnetization: 0.00 μB/f.u.
Crystal system: hexagonal
Volume: 102 Å³/cell

Lattice parameters (Å, degrees): 4.4903 4.4903 5.8469 90.00 90.00 120.00
Last column: nearest neighbours and their distance in Å.
Space group P6_3/mmc (No. 194)
One atom of each set of equivalent atoms:
1 Ag 0.0000 0.0000 0.0000 [2 per cell]  2 Ag 2.92, 6 Te 2.98
2 Te 0.3333 0.6667 0.2500 [2 per cell]  6 Ag 2.98